Record 1
Computed, not measured: an optimized crystal structure of Mg3Co at the PBE level of DFT.

Cell: 5.085 5.789 4.641 Å, 90.00 90.00 90.00°
Element x y z (fractional)
Mg1 0.029 0.500 0.000
Mg2 0.498 0.249 0.000
Mg3 0.304 0.000 0.500
Mg4 0.836 0.251 0.500
Mg5 0.498 0.751 0.000
Mg6 0.836 0.749 0.500
Co1 0.990 0.000 0.000
Co2 0.344 0.500 0.500

Properties
Space group: No. 59
Total energy in eV/atom: -2.80

=====

Record 2
Computed, not measured: an optimized crystal structure of PmPt at the PBE level of DFT.

Cell: 3.619 3.619 4.115 Å, 90.00 90.00 120.00°
Element x y z (fractional)
Pm1 0.667 0.333 0.750
Pt1 0.333 0.667 0.250

Properties
Space group: No. 187
Calculated formation energy in eV per atom: -0.76

=====

Record 3
Computed, not measured: an optimized crystal structure of BaBiAu at the PBE level of DFT.

Cell: 8.118 8.118 4.984 Å, 90.00 90.00 120.00°
Element x y z (fractional)
Bi1 0.333 0.667 0.000
Bi2 0.667 0.333 0.000
Bi3 0.000 0.000 0.500
Ba1 0.000 0.579 0.500
Ba2 0.421 0.421 0.500
Ba3 0.579 0.000 0.500
Au1 0.000 0.249 0.000
Au2 0.249 0.000 0.000
Au3 0.751 0.751 0.000

Properties
Space group: No. 189
Total energy in eV/atom: -3.69

=====

Record 4
Computed, not measured: an optimized crystal structure of AgIrO3 at the PBE level of DFT.

Cell: 3.867 3.867 3.916 Å, 90.00 90.00 90.00°
Each line ends with the local moment (μB).
Element x y z (fractional)
Ir1 0.500 0.500 0.563  0.63
Ag1 0.000 0.000 0.073  0.05
O1 0.000 0.500 0.597  0.25
O2 0.500 0.000 0.597  0.06
O3 0.500 0.500 0.071  0.18

Properties
Space group: No. 99
Total energy in eV/atom: -5.48

=====

Record 5
Computed, not measured: an optimized crystal structure of Dy2Er3Tm2Ni2Te2 at the PBE level of DFT.

Cell: 9.274 9.274 9.274 Å, 156.19 66.89 118.53°
Element x y z (fractional)
Er1 0.875 0.060 0.815
Er2 0.181 0.681 0.500
Er3 0.246 0.060 0.185
Dy1 0.897 0.264 0.633
Dy2 0.631 0.264 0.367
Te1 0.518 0.018 0.500
Te2 0.916 0.916 0.000
Ni1 0.491 0.753 0.737
Ni2 0.016 0.753 0.263
Tm1 0.558 0.411 0.146
Tm2 0.265 0.411 0.854

Properties
Space group: No. 44
Relative energy among the computed polymorphs in eV/f.u.: 0.06

=====

Record 6
Computed, not measured: an optimized crystal structure of Dy4GaGe3 at the PBE level of DFT.

Cell: 3.972 4.304 10.766 Å, 90.00 90.00 90.00°
Element x y z (fractional)
Ge1 0.500 0.000 0.081
Ge2 0.000 0.500 0.415
Ge3 0.500 0.500 0.584
Dy1 0.500 0.000 0.361
Dy2 0.000 0.500 0.140
Dy3 0.500 0.500 0.861
Dy4 0.000 0.000 0.639
Ga1 0.000 0.000 0.920

Properties
Space group: No. 25
Total energy in eV/atom: -5.24